Entry 1:
The following is a DFT calculation (PBE-GGA) of PmSm6Dy after structural relaxation.

Results
formation energy from the elements: 18 meV per atom
electronic total energy: -37.523 eV/f.u.
crystal system: tetragonal
D(E_F): 13.39 states/eV per cell
total magnetization: 0.00 μB/atom

abc: 5.117 5.117 10.231
angles: 90.00 90.00 90.00
Sites, in units of the cell vectors:
Pm  0.000  0.000  0.000
Sm  0.000  0.500  0.252
Sm  0.000  0.500  0.748
Sm  0.500  0.000  0.252
Sm  0.500  0.000  0.748
Sm  0.500  0.500  0.000
Sm  0.500  0.500  0.500
Dy  0.000  0.000  0.500

Entry 2:
The following is a DFT calculation (PBE-GGA) of Pm3SmDy7 after structural relaxation.

Results
formation energy from the elements: 142 meV per atom
electronic total energy: -49.625 eV/f.u.
crystal system: monoclinic
relative energy among the computed polymorphs: 0.00 eV per formula unit
D(E_F): 16.67 states/eV per cell
total magnetization: 0.00 μB/atom

abc: 6.973 5.553 10.040
angles: 90.00 110.23 90.00
Sites, in units of the cell vectors:
Pm  0.000  0.000  0.000
Pm  0.282  0.500  0.500
Pm  0.718  0.500  0.500
Sm  0.500  0.000  0.000
Dy  0.000  0.000  0.500
Dy  0.145  0.500  0.789
Dy  0.320  0.500  0.139
Dy  0.416  0.000  0.330
Dy  0.584  0.000  0.670
Dy  0.680  0.500  0.861
Dy  0.855  0.500  0.211

Entry 3:
The following is a DFT calculation (PBE-GGA) of PmSm3Dy after structural relaxation.

Results
formation energy from the elements: 314 meV per atom
electronic total energy: -21.942 eV/f.u.
crystal system: monoclinic
relative energy among the computed polymorphs: 1.44 eV per formula unit
D(E_F): 17.50 states/eV per cell
total magnetization: 0.00 μB/atom

abc: 3.630 11.810 8.638
angles: 90.00 102.13 90.00
Sites, in units of the cell vectors:
Pm  0.188  0.250  0.380
Pm  0.812  0.750  0.620
Sm  0.147  0.750  0.291
Sm  0.350  0.000  0.700
Sm  0.350  0.500  0.700
Sm  0.650  0.000  0.300
Sm  0.650  0.500  0.300
Sm  0.853  0.250  0.709
Dy  0.484  0.750  0.961
Dy  0.516  0.250  0.039

Entry 4:
The following is a DFT calculation (PBE-GGA) of Pm7SmDy2 after structural relaxation.

Results
formation energy from the elements: 387 meV per atom
electronic total energy: -43.312 eV/f.u.
crystal system: orthorhombic
relative energy among the computed polymorphs: 0.00 eV per formula unit
D(E_F): 15.50 states/eV per cell
total magnetization: 0.00 μB/atom

abc: 10.395 10.395 3.508
angles: 90.00 90.00 109.03
Sites, in units of the cell vectors:
Pm  0.000  0.000  0.000
Pm  0.114  0.375  0.000
Pm  0.176  0.824  0.500
Pm  0.375  0.114  0.000
Pm  0.625  0.886  0.000
Pm  0.824  0.176  0.500
Pm  0.886  0.625  0.000
Sm  0.500  0.500  0.500
Dy  0.331  0.669  0.000
Dy  0.669  0.331  0.000

Entry 5:
The following is a DFT calculation (PBE-GGA) of Pm2Sm3Dy8 after structural relaxation.

Results
formation energy from the elements: 17 meV per atom
electronic total energy: -60.251 eV/f.u.
crystal system: triclinic
D(E_F): 18.58 states/eV per cell
total magnetization: 0.00 μB/atom

abc: 6.198 6.203 11.307
angles: 89.97 79.46 80.43
Sites, in units of the cell vectors:
Pm  0.116  0.231  0.038
Pm  0.884  0.769  0.962
Sm  0.269  0.538  0.423
Sm  0.500  0.000  0.500
Sm  0.731  0.462  0.577
Dy  0.038  0.076  0.346
Dy  0.192  0.385  0.731
Dy  0.347  0.692  0.116
Dy  0.424  0.846  0.808
Dy  0.576  0.154  0.192
Dy  0.653  0.308  0.884
Dy  0.808  0.615  0.269
Dy  0.962  0.924  0.654

Entry 6:
The following is a DFT calculation (PBE-GGA) of Pm4SmDy4 after structural relaxation.

Results
formation energy from the elements: 103 meV per atom
electronic total energy: -41.207 eV/f.u.
crystal system: monoclinic
relative energy among the computed polymorphs: 0.78 eV per formula unit
D(E_F): 15.05 states/eV per cell
total magnetization: 0.00 μB/atom

abc: 8.917 8.917 6.833
angles: 111.71 111.71 36.82
Sites, in units of the cell vectors:
Pm  0.134  0.134  0.462
Pm  0.281  0.281  0.212
Pm  0.719  0.719  0.788
Pm  0.866  0.866  0.538
Sm  0.500  0.500  0.500
Dy  0.073  0.073  0.881
Dy  0.371  0.371  0.816
Dy  0.629  0.629  0.184
Dy  0.927  0.927  0.119

Entry 7:
The following is a DFT calculation (PBE-GGA) of PmSm3Dy8 after structural relaxation.

Results
formation energy from the elements: 630 meV per atom
electronic total energy: -48.160 eV/f.u.
crystal system: tetragonal
D(E_F): 17.51 states/eV per cell
total magnetization: 0.00 μB/atom

abc: 8.370 8.370 8.370
angles: 117.35 117.35 94.65
Sites, in units of the cell vectors:
Pm  0.000  0.000  0.000
Sm  0.250  0.750  0.500
Sm  0.500  0.500  0.000
Sm  0.750  0.250  0.500
Dy  0.125  0.376  0.000
Dy  0.250  0.250  0.500
Dy  0.251  0.750  0.000
Dy  0.376  0.125  0.000
Dy  0.624  0.624  0.749
Dy  0.749  0.749  0.500
Dy  0.750  0.251  0.000
Dy  0.875  0.875  0.251

Entry 8:
The following is a DFT calculation (PBE-GGA) of Pm2Sm6Dy3 after structural relaxation.

Results
formation energy from the elements: 14 meV per atom
electronic total energy: -51.470 eV/f.u.
crystal system: trigonal
relative energy among the computed polymorphs: 0.00 eV per formula unit
D(E_F): 14.08 states/eV per cell
total magnetization: 0.00 μB/atom

abc: 32.422 32.422 32.422
angles: 6.38 6.38 6.38
Sites, in units of the cell vectors:
Pm  0.046  0.046  0.046
Pm  0.954  0.954  0.954
Sm  0.137  0.137  0.137
Sm  0.318  0.318  0.318
Sm  0.410  0.410  0.410
Sm  0.590  0.590  0.590
Sm  0.682  0.682  0.682
Sm  0.863  0.863  0.863
Dy  0.227  0.227  0.227
Dy  0.500  0.500  0.500
Dy  0.773  0.773  0.773

Entry 9:
The following is a DFT calculation (PBE-GGA) of PmSm3Dy5 after structural relaxation.

Results
formation energy from the elements: 308 meV per atom
electronic total energy: -39.150 eV/f.u.
crystal system: monoclinic
relative energy among the computed polymorphs: 0.00 eV per formula unit
D(E_F): 24.50 states/eV per cell
total magnetization: 0.00 μB/atom

abc: 10.541 10.541 11.527
angles: 120.21 120.21 33.72
Sites, in units of the cell vectors:
Pm  0.097  0.903  0.750
Pm  0.903  0.097  0.250
Sm  0.000  0.000  0.000
Sm  0.000  0.000  0.500
Sm  0.032  0.603  0.462
Sm  0.397  0.968  0.038
Sm  0.603  0.032  0.962
Sm  0.968  0.397  0.538
Dy  0.022  0.619  0.163
Dy  0.181  0.540  0.858
Dy  0.381  0.978  0.337
Dy  0.417  0.583  0.250
Dy  0.460  0.819  0.642
Dy  0.540  0.181  0.358
Dy  0.583  0.417  0.750
Dy  0.619  0.022  0.663
Dy  0.819  0.460  0.142
Dy  0.978  0.381  0.837

Entry 10:
The following is a DFT calculation (PBE-GGA) of Pm2Sm2Dy after structural relaxation.

Results
formation energy from the elements: 71 meV per atom
electronic total energy: -23.187 eV/f.u.
crystal system: monoclinic
relative energy among the computed polymorphs: 0.00 eV per formula unit
D(E_F): 16.97 states/eV per cell
total magnetization: 0.00 μB/atom

abc: 8.706 8.706 6.888
angles: 101.08 101.08 41.49
Sites, in units of the cell vectors:
Pm  0.145  0.247  0.077
Pm  0.247  0.145  0.577
Pm  0.753  0.855  0.423
Pm  0.855  0.753  0.923
Sm  0.326  0.482  0.354
Sm  0.482  0.326  0.854
Sm  0.518  0.674  0.146
Sm  0.674  0.518  0.646
Dy  0.071  0.929  0.750
Dy  0.929  0.071  0.250

Entry 11:
The following is a DFT calculation (PBE-GGA) of PmSm6Dy12 after structural relaxation.

Results
formation energy from the elements: 211 meV per atom
electronic total energy: -84.274 eV/f.u.
crystal system: trigonal
relative energy among the computed polymorphs: 0.00 eV per formula unit
D(E_F): 32.23 states/eV per cell
total magnetization: 0.00 μB/atom

abc: 8.727 8.727 8.727
angles: 98.65 98.65 98.65
Sites, in units of the cell vectors:
Pm  0.000  0.000  0.000
Sm  0.099  0.099  0.656
Sm  0.099  0.656  0.099
Sm  0.344  0.901  0.901
Sm  0.656  0.099  0.099
Sm  0.901  0.344  0.901
Sm  0.901  0.901  0.344
Dy  0.082  0.356  0.356
Dy  0.242  0.500  0.758
Dy  0.242  0.758  0.500
Dy  0.356  0.082  0.356
Dy  0.356  0.356  0.082
Dy  0.500  0.242  0.758
Dy  0.500  0.758  0.242
Dy  0.644  0.644  0.918
Dy  0.644  0.918  0.644
Dy  0.758  0.242  0.500
Dy  0.758  0.500  0.242
Dy  0.918  0.644  0.644

Entry 12:
The following is a DFT calculation (PBE-GGA) of Pm12Sm5Dy after structural relaxation.

Results
formation energy from the elements: 108 meV per atom
electronic total energy: -83.259 eV/f.u.
crystal system: monoclinic
D(E_F): 34.04 states/eV per cell
total magnetization: 0.00 μB/atom

abc: 10.568 10.568 6.058
angles: 90.03 90.03 114.56
Sites, in units of the cell vectors:
Pm  0.008  0.340  0.454
Pm  0.159  0.492  0.954
Pm  0.175  0.175  0.050
Pm  0.325  0.325  0.550
Pm  0.340  0.008  0.454
Pm  0.492  0.159  0.954
Pm  0.508  0.841  0.046
Pm  0.660  0.992  0.546
Pm  0.675  0.675  0.450
Pm  0.825  0.825  0.950
Pm  0.841  0.508  0.046
Pm  0.992  0.660  0.546
Sm  0.166  0.834  0.000
Sm  0.333  0.667  0.500
Sm  0.500  0.500  0.000
Sm  0.667  0.333  0.500
Sm  0.834  0.166  0.000
Dy  0.000  0.000  0.500

Entry 13:
The following is a DFT calculation (PBE-GGA) of PmSm8Dy4 after structural relaxation.

Results
formation energy from the elements: 484 meV per atom
electronic total energy: -54.619 eV/f.u.
crystal system: cubic
D(E_F): 20.21 states/eV per cell
total magnetization: 0.00 μB/atom

abc: 7.847 7.847 7.847
angles: 90.00 90.00 90.00
Sites, in units of the cell vectors:
Pm  0.000  0.000  0.000
Sm  0.261  0.261  0.261
Sm  0.261  0.261  0.739
Sm  0.261  0.739  0.261
Sm  0.261  0.739  0.739
Sm  0.739  0.261  0.261
Sm  0.739  0.261  0.739
Sm  0.739  0.739  0.261
Sm  0.739  0.739  0.739
Dy  0.000  0.000  0.500
Dy  0.000  0.500  0.000
Dy  0.500  0.000  0.000
Dy  0.500  0.500  0.500

Entry 14:
The following is a DFT calculation (PBE-GGA) of PmSmDy2 after structural relaxation.

Results
formation energy from the elements: 27 meV per atom
electronic total energy: -18.568 eV/f.u.
crystal system: orthorhombic
relative energy among the computed polymorphs: 0.05 eV per formula unit
D(E_F): 7.22 states/eV per cell
total magnetization: 0.00 μB/atom

abc: 6.815 6.815 6.815
angles: 148.95 64.62 124.88
Sites, in units of the cell vectors:
Pm  0.000  0.000  0.000
Sm  0.500  0.000  0.500
Dy  0.418  0.667  0.750
Dy  0.917  0.667  0.250

Entry 15:
The following is a DFT calculation (PBE-GGA) of Pm2Sm6Dy5 after structural relaxation.

Results
formation energy from the elements: 99 meV per atom
electronic total energy: -59.545 eV/f.u.
crystal system: orthorhombic
D(E_F): 29.95 states/eV per cell
total magnetization: 0.00 μB/atom

abc: 11.777 20.446 3.626
angles: 90.00 90.00 90.00
Sites, in units of the cell vectors:
Pm  0.168  0.214  0.000
Pm  0.332  0.714  0.000
Pm  0.668  0.286  0.000
Pm  0.832  0.786  0.000
Sm  0.059  0.922  0.000
Sm  0.080  0.634  0.000
Sm  0.177  0.371  0.500
Sm  0.323  0.871  0.500
Sm  0.420  0.134  0.000
Sm  0.441  0.422  0.000
Sm  0.559  0.578  0.000
Sm  0.580  0.866  0.000
Sm  0.677  0.129  0.500
Sm  0.823  0.629  0.500
Sm  0.920  0.366  0.000
Sm  0.941  0.078  0.000
Dy  0.000  0.500  0.500
Dy  0.092  0.777  0.500
Dy  0.199  0.054  0.500
Dy  0.301  0.554  0.500
Dy  0.408  0.277  0.500
Dy  0.500  0.000  0.500
Dy  0.592  0.723  0.500
Dy  0.699  0.446  0.500
Dy  0.801  0.946  0.500
Dy  0.908  0.223  0.500

Entry 16:
The following is a DFT calculation (PBE-GGA) of Pm12SmDy7 after structural relaxation.

Results
formation energy from the elements: 101 meV per atom
electronic total energy: -91.927 eV/f.u.
crystal system: trigonal
relative energy among the computed polymorphs: 0.00 eV per formula unit
D(E_F): 36.38 states/eV per cell
total magnetization: 0.00 μB/atom

abc: 8.853 8.853 8.853
angles: 98.42 98.42 98.42
Sites, in units of the cell vectors:
Pm  0.000  0.262  0.738
Pm  0.000  0.738  0.262
Pm  0.143  0.143  0.409
Pm  0.143  0.409  0.143
Pm  0.262  0.000  0.738
Pm  0.262  0.738  0.000
Pm  0.409  0.143  0.143
Pm  0.591  0.857  0.857
Pm  0.738  0.000  0.262
Pm  0.738  0.262  0.000
Pm  0.857  0.591  0.857
Pm  0.857  0.857  0.591
Sm  0.500  0.500  0.500
Dy  0.000  0.000  0.000
Dy  0.160  0.595  0.595
Dy  0.405  0.405  0.840
Dy  0.405  0.840  0.405
Dy  0.595  0.160  0.595
Dy  0.595  0.595  0.160
Dy  0.840  0.405  0.405

Entry 17:
The following is a DFT calculation (PBE-GGA) of Pm6Sm5Dy after structural relaxation.

Results
formation energy from the elements: 13 meV per atom
electronic total energy: -56.548 eV/f.u.
crystal system: monoclinic
D(E_F): 16.83 states/eV per cell
total magnetization: 0.00 μB/atom

abc: 6.293 6.293 12.039
angles: 95.01 95.01 119.99
Sites, in units of the cell vectors:
Pm  0.083  0.416  0.249
Pm  0.250  0.250  0.751
Pm  0.416  0.083  0.249
Pm  0.584  0.917  0.751
Pm  0.750  0.750  0.249
Pm  0.917  0.584  0.751
Sm  0.167  0.833  0.500
Sm  0.333  0.667  0.000
Sm  0.500  0.500  0.500
Sm  0.667  0.333  0.000
Sm  0.833  0.167  0.500
Dy  0.000  0.000  0.000

Entry 18:
The following is a DFT calculation (PBE-GGA) of Pm5SmDy2 after structural relaxation.

Results
formation energy from the elements: 15 meV per atom
electronic total energy: -37.559 eV/f.u.
crystal system: orthorhombic
relative energy among the computed polymorphs: 0.00 eV per formula unit
D(E_F): 23.53 states/eV per cell
total magnetization: 0.00 μB/atom

abc: 7.240 14.481 5.115
angles: 90.00 90.00 90.00
Sites, in units of the cell vectors:
Pm  0.000  0.000  0.000
Pm  0.000  0.250  0.000
Pm  0.000  0.750  0.000
Pm  0.250  0.125  0.500
Pm  0.250  0.625  0.500
Pm  0.500  0.250  0.000
Pm  0.500  0.500  0.000
Pm  0.500  0.750  0.000
Pm  0.750  0.375  0.500
Pm  0.750  0.875  0.500
Sm  0.000  0.500  0.000
Sm  0.500  0.000  0.000
Dy  0.250  0.375  0.500
Dy  0.250  0.875  0.500
Dy  0.750  0.125  0.500
Dy  0.750  0.625  0.500

Entry 19:
The following is a DFT calculation (PBE-GGA) of PmSm2Dy4 after structural relaxation.

Results
formation energy from the elements: 265 meV per atom
electronic total energy: -30.742 eV/f.u.
crystal system: tetragonal
relative energy among the computed polymorphs: 1.57 eV per formula unit
D(E_F): 10.87 states/eV per cell
total magnetization: 0.00 μB/atom

abc: 11.765 11.765 11.765
angles: 157.69 157.69 31.76
Sites, in units of the cell vectors:
Pm  0.000  0.000  0.000
Sm  0.403  0.403  0.000
Sm  0.597  0.597  0.000
Dy  0.140  0.140  0.000
Dy  0.250  0.750  0.500
Dy  0.750  0.250  0.500
Dy  0.860  0.860  0.000